# 1
The following is a DFT calculation (GGA-PBE) of a relaxed structure of Zn2HgSb.

Cell lengths 3.6456, 3.6456, 6.4119 Å; angles 90.00, 90.00, 90.00 degrees
Last column: nearest neighbours and their distance in Å.
Atoms (fractional coordinates):
Sb 0.5000 0.5000 0.7500  8 Zn 3.09, 2 Hg 3.21
Zn 0.0000 0.0000 0.4852  4 Hg 2.99, 1 Zn 3.02, 4 Sb 3.09
Hg 0.5000 0.5000 0.2500  8 Zn 2.99, 2 Sb 3.21
Zn 0.0000 0.0000 0.0148  4 Hg 2.99, 1 Zn 3.02, 4 Sb 3.09

## Properties
M_tot, μB/f.u.: 0.0
Formation energy (no corrections), eV/atom: 0.198
Symmetry: P4/mmm, No. 123



# 2
The following is a DFT calculation (GGA-PBE) of a relaxed structure of ZnHgSb2.

Cell lengths 6.0379, 3.2147, 5.6614 Å; angles 77.82, 90.00, 90.00 degrees
Last column: nearest neighbours and their distance in Å.
Atoms (fractional coordinates):
Hg 0.5000 0.5912 0.6184  3 Sb 2.92-3.23, 2 Zn 3.05, 2 Hg 3.21
Sb 0.5000 0.2105 0.1339  3 Hg 2.92-3.23, 4 Sb 3.02-3.21
Zn 0.0000 0.4672 0.6128  2 Sb 2.89-2.96, 2 Hg 3.05, 2 Zn 3.21
Sb 0.0000 0.2311 0.1349  2 Zn 2.89-2.96, 4 Sb 3.02-3.21

## Properties
M_tot, μB/f.u.: 0.0
Formation energy (no corrections), eV/atom: 0.163
Symmetry: Pm, No. 6



In the order shown, the computed Fermi-level density of states values come out to 1.07, 1.91 states/eV/f.u..